Record 1
The following is a DFT calculation (SCAN) of a crystal of KMg2Br relaxed with PBEsol.

For the energy relative to the lowest polymorph listed for this composition, the calculation gives 574 meV/atom. Its raw formation energy is 0.02 eV/atom. The crystal system is cubic. The energy is -9.416 eV per atom. Its total magnetization is 0.0 μB/f.u. The density of states at the Fermi level is 0.0782 states/eV/atom.

The structure belongs to space group Fm-3m (No. 225); the cell edges are 8.226, 8.226 and 8.226 Å and the angles 90.00°, 90.00° and 90.00°. Symmetry generates all atoms from K at (0.000, 0.000, 0.000), Mg at (0.250, 0.250, 0.250) and Br at (0.000, 0.000, 0.500).

Record 2
The following is a DFT calculation (SCAN) of a crystal of KMg2Br relaxed with PBEsol.

For the energy relative to the lowest polymorph listed for this composition, the calculation gives 0 meV/atom. Its raw formation energy is -0.56 eV/atom. The crystal system is monoclinic. The energy is -9.990 eV per atom. Its total magnetization is 0.1 μB/f.u. The density of states at the Fermi level is 0.3186 states/eV/atom.

The structure belongs to space group Pm (No. 6); the cell edges are 3.710, 3.638 and 9.120 Å and the angles 90.00°, 101.71° and 90.00°. Symmetry generates all atoms from K at (0.000, 0.000, 0.000), Mg at (0.267, 0.000, 0.538), Mg at (0.667, 0.500, 0.336) and Br at (0.392, 0.500, 0.784).

Record 3
The following is a DFT calculation (SCAN) of a crystal of K2MgBr relaxed with PBEsol.

For the energy relative to the lowest polymorph listed for this composition, the calculation gives 143 meV/atom. Its raw formation energy is -0.60 eV/atom. The crystal system is monoclinic. The energy is -10.876 eV per atom. Its total magnetization is 0.0 μB/f.u. The density of states at the Fermi level is 0.4362 states/eV/atom.

The structure belongs to space group Pm (No. 6); the cell edges are 4.230, 5.935 and 5.944 Å and the angles 90.00°, 90.06° and 90.00°. Symmetry generates all atoms from K at (0.000, 0.000, 0.000), K at (0.002, 0.500, 0.506), Mg at (0.502, 0.500, 0.007) and Br at (0.500, 0.000, 0.514).

Record 4
The following is a DFT calculation (SCAN) of a crystal of KMg2Br relaxed with PBEsol.

For the energy relative to the lowest polymorph listed for this composition, the calculation gives 94 meV/atom. Its raw formation energy is -0.46 eV/atom. The crystal system is tetragonal. The energy is -9.896 eV per atom. Its total magnetization is 0.0 μB/f.u. The density of states at the Fermi level is 0.3542 states/eV/atom.

The structure belongs to space group P4/mmm (No. 123); the cell edges are 4.413, 4.413 and 6.688 Å and the angles 90.00°, 90.00° and 90.00°. Symmetry generates all atoms from K at (0.000, 0.000, 0.000), Mg at (0.000, 0.500, 0.500) and Br at (0.500, 0.500, 0.000).

Record 5
The following is a DFT calculation (SCAN) of a crystal of K2RbMgBr relaxed with PBEsol.

Its raw formation energy is -0.14 eV/atom. The crystal system is tetragonal. The energy is -12.508 eV per atom. Its total magnetization is 0.0 μB/f.u. The density of states at the Fermi level is 0.4482 states/eV/atom.

The structure belongs to space group P4/mmm (No. 123); the cell edges are 7.504, 7.504 and 6.014 Å and the angles 90.00°, 90.00° and 90.00°. Symmetry generates all atoms from K at (0.000, 0.500, 0.000), Rb at (0.000, 0.000, 0.000), Mg at (0.500, 0.500, 0.500) and Br at (0.000, 0.000, 0.500).

Record 6
The following is a DFT calculation (SCAN) of a crystal of KMgSeBr2 relaxed with PBEsol.

Its raw formation energy is -0.14 eV/atom. The crystal system is tetragonal. The energy is -14.600 eV per atom. Its total magnetization is 1.0 μB/f.u. The density of states at the Fermi level is 0.5615 states/eV/atom.

The structure belongs to space group P4/mmm (No. 123); the cell edges are 5.650, 5.650 and 5.703 Å and the angles 90.00°, 90.00° and 90.00°. Symmetry generates all atoms from K at (0.000, 0.000, 0.000), Mg at (0.500, 0.500, 0.500), Se at (0.000, 0.000, 0.500) and Br at (0.000, 0.500, 0.000).

Record 7
The following is a DFT calculation (SCAN) of a crystal of KMn2Br relaxed with PBEsol.

For the energy relative to the lowest polymorph listed for this composition, the calculation gives 0 meV/atom. Its raw formation energy is 0.12 eV/atom. The crystal system is orthorhombic. The energy is -15.956 eV per atom. Its total magnetization is 8.6 μB/f.u. The density of states at the Fermi level is 0.6891 states/eV/atom.

The structure belongs to space group Imm2 (No. 44); the cell edges are 3.191, 6.358 and 10.445 Å and the angles 90.00°, 90.00° and 90.00°. Symmetry generates all atoms from K at (0.000, 0.000, 0.000), Mn at (0.000, 0.000, 0.461), Mn at (0.000, 0.500, 0.156) and Br at (0.000, 0.500, 0.774).

Record 8
The following is a DFT calculation (SCAN) of a crystal of K2MnBr relaxed with PBEsol.

Its raw formation energy is -0.27 eV/atom. The crystal system is tetragonal. The energy is -13.865 eV per atom. Its total magnetization is 4.9 μB/f.u. The density of states at the Fermi level is 0.4016 states/eV/atom.

The structure belongs to space group P4mm (No. 99); the cell edges are 3.820, 3.820 and 10.361 Å and the angles 90.00°, 90.00° and 90.00°. Symmetry generates all atoms from K at (0.000, 0.000, 0.000), K at (0.500, 0.500, 0.407), Mn at (0.000, 0.000, 0.644) and Br at (0.500, 0.500, 0.827).

Record 9
The following is a DFT calculation (SCAN) of a crystal of KMnBr3 relaxed with PBEsol.

For the energy relative to the lowest polymorph listed for this composition, the calculation gives 56 meV/atom. Its raw formation energy is -1.47 eV/atom. The crystal system is cubic. The energy is -18.467 eV per atom. Its total magnetization is 5.0 μB/f.u. The density of states at the Fermi level is 0.0000 states/eV/atom.

The structure belongs to space group Pm-3m (No. 221); the cell edges are 5.251, 5.251 and 5.251 Å and the angles 90.00°, 90.00° and 90.00°. Symmetry generates all atoms from K at (0.000, 0.000, 0.000), Mn at (0.500, 0.500, 0.500) and Br at (0.000, 0.500, 0.500).

Record 10
The following is a DFT calculation (SCAN) of a crystal of KMnBr3 relaxed with PBEsol.

For the energy relative to the lowest polymorph listed for this composition, the calculation gives 0 meV/atom. Its raw formation energy is -1.53 eV/atom. The crystal system is orthorhombic. The energy is -18.523 eV per atom. Its total magnetization is 5.0 μB/f.u. The density of states at the Fermi level is 0.0000 states/eV/atom.

The structure belongs to space group Pnma (No. 62); the cell edges are 9.193, 3.997 and 15.001 Å and the angles 90.00°, 90.00° and 90.00°. Symmetry generates all atoms from K at (0.064, 0.250, 0.175), Mn at (0.164, 0.750, 0.444), Br at (0.023, 0.750, 0.601), Br at (0.171, 0.750, 0.006) and Br at (0.219, 0.250, 0.791).

Record 11
The following is a DFT calculation (SCAN) of a crystal of KMn4Br relaxed with PBEsol.

Its raw formation energy is 0.42 eV/atom. The crystal system is cubic. The energy is -16.378 eV per atom. Its total magnetization is 17.0 μB/f.u. The density of states at the Fermi level is 0.7191 states/eV/atom.

The structure belongs to space group F-43m (No. 216); the cell edges are 7.831, 7.831 and 7.831 Å and the angles 90.00°, 90.00° and 90.00°. Symmetry generates all atoms from K at (0.000, 0.000, 0.000), Mn at (0.126, 0.126, 0.374) and Br at (0.250, 0.250, 0.750).

Record 12
The following is a DFT calculation (SCAN) of a crystal of KMn2Br relaxed with PBEsol.

For the energy relative to the lowest polymorph listed for this composition, the calculation gives 137 meV/atom. Its raw formation energy is 0.26 eV/atom. The crystal system is tetragonal. The energy is -15.819 eV per atom. Its total magnetization is 9.8 μB/f.u. The density of states at the Fermi level is 0.4846 states/eV/atom.

The structure belongs to space group I-4m2 (No. 119); the cell edges are 5.320, 5.320 and 7.392 Å and the angles 90.00°, 90.00° and 90.00°. Symmetry generates all atoms from K at (0.000, 0.000, 0.000), Mn at (0.000, 0.000, 0.500), Mn at (0.000, 0.500, 0.250) and Br at (0.000, 0.500, 0.750).

Record 13
The following is a DFT calculation (SCAN) of a crystal of KMn2Br relaxed with PBEsol.

For the energy relative to the lowest polymorph listed for this composition, the calculation gives 141 meV/atom. Its raw formation energy is 0.26 eV/atom. The crystal system is trigonal. The energy is -15.815 eV per atom. Its total magnetization is 9.5 μB/f.u. The density of states at the Fermi level is 0.5399 states/eV/atom.

The structure belongs to space group R-3m (No. 166, hexagonal axes); the cell edges are 3.3152, 3.3152 and 30.0326 Å and the angles 90.00°, 90.00° and 120.00°. Symmetry generates all atoms from K at (0.0000, 0.0000, 0.0000), Mn at (0.0000, 0.0000, 0.2345) and Br at (0.0000, 0.0000, 0.5000).

Record 14
The following is a DFT calculation (SCAN) of a crystal of K4MnBr6 relaxed with PBEsol.

Its raw formation energy is -1.76 eV/atom. The crystal system is trigonal. The energy is -17.064 eV per atom. Its total magnetization is 5.0 μB/f.u. The density of states at the Fermi level is 0.0000 states/eV/atom.

The structure belongs to space group R-3c (No. 167, hexagonal axes); the cell edges are 12.4691, 12.4691 and 15.4753 Å and the angles 90.00°, 90.00° and 120.00°. Symmetry generates all atoms from K at (0.0000, 0.0000, 0.2500), K at (0.0000, 0.3792, 0.2500), Mn at (0.0000, 0.0000, 0.0000) and Br at (0.0321, 0.1895, 0.4003).

Record 15
The following is a DFT calculation (SCAN) of a crystal of KMn2TeBr relaxed with PBEsol.

Its raw formation energy is -0.22 eV/atom. The crystal system is tetragonal. The energy is -20.528 eV per atom. Its total magnetization is 8.2 μB/f.u. The density of states at the Fermi level is 0.3595 states/eV/atom.

The structure belongs to space group P4/mmm (No. 123); the cell edges are 4.943, 4.943 and 7.072 Å and the angles 90.00°, 90.00° and 90.00°. Symmetry generates all atoms from K at (0.000, 0.000, 0.000), Mn at (0.000, 0.500, 0.500), Te at (0.000, 0.000, 0.500) and Br at (0.500, 0.500, 0.000).

Record 16
The following is a DFT calculation (SCAN) of a crystal of K8Zr6MnBr20 relaxed with PBEsol.

Its raw formation energy is -1.68 eV/atom. The crystal system is cubic. The energy is -20.488 eV per atom. Its total magnetization is 0.0 μB/f.u. The density of states at the Fermi level is 0.1937 states/eV/atom.

The structure belongs to space group Fm-3m (No. 225); the cell edges are 16.238, 16.238 and 16.238 Å and the angles 90.00°, 90.00° and 90.00°. Symmetry generates all atoms from K at (0.140, 0.140, 0.140), Zr at (0.000, 0.000, 0.352), Mn at (0.000, 0.000, 0.500), Br at (0.000, 0.000, 0.177), Br at (0.000, 0.168, 0.332) and Br at (0.250, 0.250, 0.250).

Record 17
The following is a DFT calculation (SCAN) of a crystal of KMoBr2 relaxed with PBEsol.

For the energy relative to the lowest polymorph listed for this composition, the calculation gives 450 meV/atom. Its raw formation energy is 0.06 eV/atom. The crystal system is tetragonal. The energy is -20.478 eV per atom. Its total magnetization is 1.0 μB/f.u. The density of states at the Fermi level is 0.6868 states/eV/atom.

The structure belongs to space group I-42d (No. 122); the cell edges are 6.095, 6.095 and 13.753 Å and the angles 90.00°, 90.00° and 90.00°. Symmetry generates all atoms from K at (0.000, 0.000, 0.000), Mo at (0.000, 0.000, 0.500) and Br at (0.147, 0.250, 0.625).

Record 18
The following is a DFT calculation (SCAN) of a crystal of KMoBr2 relaxed with PBEsol.

For the energy relative to the lowest polymorph listed for this composition, the calculation gives 143 meV/atom. Its raw formation energy is -0.25 eV/atom. The crystal system is cubic. The energy is -20.785 eV per atom. Its total magnetization is 5.0 μB/f.u. The density of states at the Fermi level is 0.3463 states/eV/atom.

The structure belongs to space group Fm-3m (No. 225); the cell edges are 7.454, 7.454 and 7.454 Å and the angles 90.00°, 90.00° and 90.00°. Symmetry generates all atoms from K at (0.000, 0.000, 0.000), Mo at (0.000, 0.000, 0.500) and Br at (0.250, 0.250, 0.250).

Record 19
The following is a DFT calculation (SCAN) of a crystal of KMoBr2 relaxed with PBEsol.

For the energy relative to the lowest polymorph listed for this composition, the calculation gives 0 meV/atom. Its raw formation energy is -0.39 eV/atom. The crystal system is monoclinic. The energy is -20.928 eV per atom. Its total magnetization is 5.0 μB/f.u.

The structure belongs to space group C2/m (No. 12); the cell edges are 7.796, 4.954 and 6.760 Å and the angles 90.00°, 106.92° and 90.00°. Symmetry generates all atoms from K at (0.000, 0.000, 0.000), Mo at (0.000, 0.500, 0.500) and Br at (0.222, 0.500, 0.276).

Record 20
The following is a DFT calculation (SCAN) of a crystal of KMoBr2 relaxed with PBEsol.

For the energy relative to the lowest polymorph listed for this composition, the calculation gives 119 meV/atom. Its raw formation energy is -0.28 eV/atom. The crystal system is orthorhombic. The energy is -20.808 eV per atom. Its total magnetization is 5.0 μB/f.u. The density of states at the Fermi level is 0.0747 states/eV/atom.

The structure belongs to space group Pmmm (No. 47); the cell edges are 3.646, 5.104 and 5.525 Å and the angles 90.00°, 90.00° and 90.00°. Symmetry generates all atoms from K at (0.000, 0.000, 0.000), Mo at (0.000, 0.500, 0.500), Br at (0.500, 0.000, 0.500) and Br at (0.500, 0.500, 0.000).